Density functional theory data (PBE-GGA) for a relaxed structure of Ce2Ga4FeGe2.

Output
* calculated formation energy: -0.51 eV/atom
* calculated volume: 18.710 Å³/atom
* size of the total moment: 1.98 Bohr magnetons per cell
* symmetry: I4/mmm (139)

Lattice parameters (Å, degrees): 6.2026 6.2026 6.2026 89.76 120.14 120.14
Last column: nearest neighbours and their distance in Å.
Atoms (fractional coordinates):
Ce 0.5000 0.7500 0.2500  4 Ge 3.10, 8 Ga 3.11
Ga 0.5576 0.2788 0.2788  1 Fe 2.44
Ga 0.4424 0.7212 0.7212  1 Fe 2.44
Ga 0.0000 0.2788 0.7212  1 Fe 2.44
Fe 0.0000 0.0000 0.0000  2 Ge 2.42, 4 Ga 2.44
Ga 0.0000 0.7212 0.2788  1 Fe 2.44
Ce 0.5000 0.2500 0.7500  4 Ge 3.10, 8 Ga 3.11
Ge 0.0000 0.2752 0.2752  1 Fe 2.42
Ge 0.0000 0.7248 0.7248  1 Fe 2.42

Density functional theory data (PBE-GGA) for a relaxed structure of CeGaFe2Ge2.

Output
* calculated formation energy: -0.08 eV/atom
* calculated volume: 17.983 Å³/atom
* size of the total moment: 2.41 Bohr magnetons per cell
* symmetry: P4/mmm (123)

Lattice parameters (Å, degrees): 4.3987 4.3987 5.5766 90.00 90.00 90.00
Last column: nearest neighbours and their distance in Å.
Atoms (fractional coordinates):
Ce 0.0000 0.0000 0.5000  2 Ga 2.79
Fe 0.5000 0.0000 0.0000  2 Ga 2.20
Fe 0.0000 0.5000 0.0000  2 Ga 2.20
Ge 0.5000 0.5000 0.2562  4 Fe 2.62, 2 Ge 2.72-2.86
Ga 0.0000 0.0000 0.0000  4 Fe 2.20
Ge 0.5000 0.5000 0.7438  4 Fe 2.62, 2 Ge 2.72-2.86

Density functional theory data (PBE-GGA) for a relaxed structure of Ce6Ga2FeH.

Output
* raw total energy: -5.54 eV per atom
* calculated volume: 22.737 Å³/atom
* size of the total moment: 0.08 Bohr magnetons per cell
* symmetry: I4/mmm (139)

Lattice parameters (Å, degrees): 6.8305 6.8304 6.8631 60.15 60.15 90.02
Last column: nearest neighbours and their distance in Å.
Atoms (fractional coordinates):
Ga 0.2502 0.7499 0.4999  12 Ce 3.42-3.43
Ce 0.2410 0.2411 0.0005  1 H 2.33, 1 Fe 2.50
Ce 0.7662 0.7662 0.4683  1 H 2.28
Ce 0.7587 0.2411 0.0000  1 H 2.33, 1 Fe 2.50
H 0.0000 0.0000 0.0000  6 Ce 2.28-2.33
Ga 0.7498 0.2501 0.5001  12 Ce 3.42-3.43
Ce 0.2338 0.2338 0.5317  1 H 2.28
Ce 0.7590 0.7589 0.9995  1 H 2.33, 1 Fe 2.50
Ce 0.2413 0.7589 0.0000  1 H 2.33, 1 Fe 2.50
Fe 0.5000 0.5000 0.0000  6 Ce 2.50-2.59